{
  "formula": "Dy5Er3Tm",
  "functional": "PBE-GGA",
  "state": "optimized geometry",
  "space_group": "No. 15",
  "final_energy_ev_per_atom": -3.85,
  "mass_density_g_cm3": 7.5,
  "cell": [[8.5294, -3.7939, 0.0000], [8.5294, 3.7939, 0.0000], [-3.4164, 0.0000, 10.1998]],
  "species": ["Dy", "Dy", "Dy", "Dy", "Dy", "Dy", "Dy", "Dy", "Dy", "Dy", "Er", "Er", "Er", "Er", "Er", "Er", "Tm", "Tm"],
  "fractional_positions": [[0.0820, 0.5855, 0.9132], [0.0862, 0.5780, 0.4190], [0.2458, 0.7542, 0.7500], [0.4145, 0.9180, 0.5868], [0.4220, 0.9138, 0.0810], [0.5780, 0.0862, 0.9190], [0.5855, 0.0820, 0.4132], [0.7542, 0.2458, 0.2500], [0.9138, 0.4220, 0.5810], [0.9180, 0.4145, 0.0868], [0.1579, 0.1730, 0.8332], [0.1730, 0.1579, 0.3332], [0.5000, 0.5000, 0.0000], [0.5000, 0.5000, 0.5000], [0.8270, 0.8421, 0.6668], [0.8421, 0.8270, 0.1668], [0.2564, 0.7436, 0.2500], [0.7436, 0.2564, 0.7500]]
}

{
  "formula": "Dy6ErTm12",
  "functional": "PBE-GGA",
  "state": "optimized geometry",
  "space_group": "No. 166",
  "final_energy_ev_per_atom": -4.25,
  "mass_density_g_cm3": 8.8,
  "cell": [[7.4914, 4.3252, 3.0884], [-7.4914, 4.3252, 3.0884], [0.0000, -8.6503, 3.0884]],
  "species": ["Dy", "Dy", "Dy", "Dy", "Dy", "Dy", "Er", "Tm", "Tm", "Tm", "Tm", "Tm", "Tm", "Tm", "Tm", "Tm", "Tm", "Tm", "Tm"],
  "fractional_positions": [[0.1965, 0.5645, 0.5645], [0.4355, 0.4355, 0.8035], [0.4355, 0.8035, 0.4355], [0.5645, 0.1965, 0.5645], [0.5645, 0.5645, 0.1965], [0.8035, 0.4355, 0.4355], [0.5000, 0.5000, 0.5000], [0.0000, 0.2914, 0.7086], [0.0000, 0.7086, 0.2914], [0.1122, 0.1122, 0.3446], [0.1122, 0.3446, 0.1122], [0.2914, 0.0000, 0.7086], [0.2914, 0.7086, 0.0000], [0.3446, 0.1122, 0.1122], [0.6554, 0.8878, 0.8878], [0.7086, 0.0000, 0.2914], [0.7086, 0.2914, 0.0000], [0.8878, 0.6554, 0.8878], [0.8878, 0.8878, 0.6554]]
}

{
  "formula": "Dy5Er3Tm3",
  "functional": "PBE-GGA",
  "state": "optimized geometry",
  "space_group": "No. 189",
  "final_energy_ev_per_atom": -3.72,
  "mass_density_g_cm3": 7.0,
  "cell": [[9.5780, 0.0000, 0.0000], [-4.7890, 8.2948, 0.0000], [0.0000, 0.0000, 5.4170]],
  "species": ["Dy", "Dy", "Dy", "Dy", "Dy", "Er", "Er", "Er", "Tm", "Tm", "Tm"],
  "fractional_positions": [[0.0000, 0.7396, 0.0000], [0.2604, 0.2604, 0.0000], [0.3333, 0.6667, 0.0000], [0.6667, 0.3333, 0.0000], [0.7396, 0.0000, 0.0000], [0.0000, 0.5509, 0.5000], [0.4491, 0.4491, 0.5000], [0.5509, 0.0000, 0.5000], [0.0000, 0.3742, 0.0000], [0.3742, 0.0000, 0.0000], [0.6258, 0.6258, 0.0000]]
}

{
  "formula": "Dy5Er12Tm2",
  "functional": "PBE-GGA",
  "state": "optimized geometry",
  "space_group": "No. 2",
  "final_energy_ev_per_atom": -4.47,
  "mass_density_g_cm3": 8.9,
  "cell": [[6.4161, 0.0000, 0.0000], [-1.2439, 8.6775, 0.0000], [-0.5888, -3.8854, 10.5408]],
  "species": ["Dy", "Dy", "Dy", "Dy", "Dy", "Er", "Er", "Er", "Er", "Er", "Er", "Er", "Er", "Er", "Er", "Er", "Er", "Tm", "Tm"],
  "fractional_positions": [[0.0000, 0.0000, 0.0000], [0.1963, 0.9872, 0.6960], [0.4861, 0.6081, 0.2809], [0.5139, 0.3919, 0.7191], [0.8037, 0.0128, 0.3040], [0.0325, 0.7400, 0.3694], [0.0531, 0.3434, 0.2317], [0.2223, 0.4010, 0.9591], [0.2976, 0.8277, 0.1391], [0.3349, 0.1290, 0.4230], [0.4756, 0.8001, 0.8620], [0.5244, 0.1999, 0.1380], [0.6651, 0.8710, 0.5770], [0.7024, 0.1723, 0.8609], [0.7777, 0.5990, 0.0409], [0.9469, 0.6566, 0.7683], [0.9675, 0.2600, 0.6306], [0.2635, 0.5538, 0.5392], [0.7365, 0.4462, 0.4608]]
}

{
  "formula": "Dy2Er12Tm5",
  "functional": "PBE-GGA",
  "state": "optimized geometry",
  "space_group": "No. 12",
  "final_energy_ev_per_atom": -4.41,
  "mass_density_g_cm3": 8.9,
  "cell": [[7.7773, -4.5366, 0.0000], [7.7773, 4.5366, 0.0000], [-0.1339, 0.0000, 8.3795]],
  "species": ["Dy", "Dy", "Er", "Er", "Er", "Er", "Er", "Er", "Er", "Er", "Er", "Er", "Er", "Er", "Tm", "Tm", "Tm", "Tm", "Tm"],
  "fractional_positions": [[0.1796, 0.8204, 0.0000], [0.8204, 0.1796, 0.0000], [0.0575, 0.0575, 0.3329], [0.0665, 0.6802, 0.3410], [0.1620, 0.5261, 0.7560], [0.3198, 0.9335, 0.6590], [0.4070, 0.4070, 0.1151], [0.4739, 0.8380, 0.2440], [0.5261, 0.1620, 0.7560], [0.5930, 0.5930, 0.8849], [0.6802, 0.0665, 0.3410], [0.8380, 0.4739, 0.2440], [0.9335, 0.3198, 0.6590], [0.9425, 0.9425, 0.6671], [0.1975, 0.1975, 0.0093], [0.2673, 0.2673, 0.4247], [0.5000, 0.5000, 0.5000], [0.7327, 0.7327, 0.5753], [0.8025, 0.8025, 0.9907]]
}

{
  "formula": "DyEr4Tm15",
  "functional": "PBE-GGA",
  "state": "optimized geometry",
  "space_group": "No. 123",
  "final_energy_ev_per_atom": -4.47,
  "mass_density_g_cm3": 9.3,
  "cell": [[4.9293, 0.0000, 0.0000], [0.0000, 4.9293, 0.0000], [0.0000, 0.0000, 24.6678]],
  "species": ["Dy", "Er", "Er", "Er", "Er", "Tm", "Tm", "Tm", "Tm", "Tm", "Tm", "Tm", "Tm", "Tm", "Tm", "Tm", "Tm", "Tm", "Tm", "Tm"],
  "fractional_positions": [[0.0000, 0.0000, 0.0000], [0.0000, 0.0000, 0.2002], [0.0000, 0.0000, 0.4000], [0.0000, 0.0000, 0.6000], [0.0000, 0.0000, 0.7998], [0.0000, 0.5000, 0.1004], [0.0000, 0.5000, 0.3001], [0.0000, 0.5000, 0.5000], [0.0000, 0.5000, 0.6999], [0.0000, 0.5000, 0.8996], [0.5000, 0.0000, 0.1004], [0.5000, 0.0000, 0.3001], [0.5000, 0.0000, 0.5000], [0.5000, 0.0000, 0.6999], [0.5000, 0.0000, 0.8996], [0.5000, 0.5000, 0.0000], [0.5000, 0.5000, 0.2003], [0.5000, 0.5000, 0.4000], [0.5000, 0.5000, 0.6000], [0.5000, 0.5000, 0.7997]]
}

{
  "formula": "DyErTm3",
  "functional": "PBE-GGA",
  "state": "optimized geometry",
  "space_group": "No. 63",
  "final_energy_ev_per_atom": -4.19,
  "mass_density_g_cm3": 8.4,
  "cell": [[1.7871, -8.1579, 0.0000], [1.7871, 8.1579, 0.0000], [0.0000, 0.0000, 11.3680]],
  "species": ["Dy", "Dy", "Er", "Er", "Tm", "Tm", "Tm", "Tm", "Tm", "Tm"],
  "fractional_positions": [[0.1880, 0.8120, 0.7500], [0.8120, 0.1880, 0.2500], [0.4852, 0.5148, 0.2500], [0.5148, 0.4852, 0.7500], [0.1510, 0.8490, 0.2500], [0.3467, 0.6533, 0.5006], [0.3467, 0.6533, 0.9994], [0.6533, 0.3467, 0.0006], [0.6533, 0.3467, 0.4994], [0.8490, 0.1510, 0.7500]]
}

{
  "formula": "Dy7Er2Tm",
  "functional": "PBE-GGA",
  "state": "optimized geometry",
  "space_group": "No. 65",
  "final_energy_ev_per_atom": -3.89,
  "mass_density_g_cm3": 7.1,
  "cell": [[4.3268, -8.4345, 0.0000], [4.3268, 8.4345, 0.0000], [0.0000, 0.0000, 5.2247]],
  "species": ["Dy", "Dy", "Dy", "Dy", "Dy", "Dy", "Dy", "Er", "Er", "Tm"],
  "fractional_positions": [[0.0000, 0.0000, 0.0000], [0.2122, 0.4306, 0.0000], [0.3014, 0.6986, 0.5000], [0.4306, 0.2122, 0.0000], [0.5694, 0.7878, 0.0000], [0.6986, 0.3014, 0.5000], [0.7878, 0.5694, 0.0000], [0.2022, 0.7978, 0.0000], [0.7978, 0.2022, 0.0000], [0.5000, 0.5000, 0.5000]]
}